Entry i
First-principles (PBE) data for a relaxed structure of Pu2HPd, as listed in Alexandria.

The structure in extended XYZ format:
```
4
Lattice="1.876 1.083 4.996 -1.876 1.083 4.996 0.000 -2.166 4.996" Properties=species:S:1:pos:R:3 pbc="T T T"
Pu 0.000 0.000 3.075
Pu 0.000 0.000 11.913
H 0.000 0.000 7.494
Pd 0.000 0.000 0.000
```

Output
symmetry: R-3m, No. 166
ρ: 16231 kg/m³

***

Entry ii
First-principles (PBE) data for a relaxed structure of Pu2HPd, as listed in Alexandria.

The structure in extended XYZ format:
```
4
Lattice="3.107 0.000 0.000 0.000 3.107 0.000 0.000 0.000 7.340" Properties=species:S:1:pos:R:3 pbc="T T T"
Pu 0.000 0.000 1.563
Pu 0.000 0.000 5.777
H 1.554 1.554 0.000
Pd 1.554 1.554 3.670
```

Output
symmetry: P4/mmm, No. 123
ρ: 13951 kg/m³

***

It turns out entry ii is the most stable, with the second structure 264 meV per atom higher.

***

Entry i
First-principles (PBE) data for a relaxed structure of Rb3H5Pd, as listed in Alexandria.

The structure in extended XYZ format:
```
18
Lattice="7.738 0.000 0.000 0.000 7.738 0.000 0.000 0.000 6.022" Properties=species:S:1:pos:R:3 pbc="T T T"
Rb 0.000 0.000 0.000
Rb 1.429 2.440 3.011
Rb 2.440 6.309 3.011
Rb 3.869 3.869 0.000
Rb 5.297 1.429 3.011
Rb 6.309 5.297 3.011
H 0.000 0.000 3.011
H 0.842 4.711 1.162
H 0.842 4.711 4.859
H 3.027 0.842 1.162
H 3.027 0.842 4.859
H 3.869 3.869 3.011
H 4.711 6.896 1.162
H 4.711 6.896 4.859
H 6.896 3.027 1.162
H 6.896 3.027 4.859
Pd 0.000 3.869 0.000
Pd 3.869 0.000 0.000
```

Output
symmetry: P4/mbm, No. 127
ρ: 3388 kg/m³

***

Entry ii
First-principles (PBE) data for a relaxed structure of Rb3H5Pd, as listed in Alexandria.

The structure in extended XYZ format:
```
18
Lattice="-3.852 3.852 6.314 3.852 -3.852 6.314 3.852 3.852 -6.314" Properties=species:S:1:pos:R:3 pbc="T T T"
Rb 5.293 1.441 0.000
Rb 0.000 0.000 3.157
Rb 1.441 2.411 0.000
Rb 2.411 1.441 6.314
Rb 0.000 0.000 9.472
Rb -1.441 2.411 6.314
H 0.000 0.000 0.000
H 4.648 -0.796 1.904
H 3.056 -0.796 4.410
H 3.056 0.796 1.904
H 4.648 0.796 4.410
H 0.000 0.000 6.314
H -0.796 3.056 1.904
H 0.796 3.056 4.410
H 0.796 4.648 1.904
H -0.796 4.648 4.410
Pd 3.852 0.000 3.157
Pd 0.000 3.852 3.157
```

Output
symmetry: I4/mcm, No. 140
ρ: 3260 kg/m³

***

It turns out entry i is the most stable, with the second structure 233 meV per atom higher.

***

Entry i
First-principles (PBE) data for a relaxed structure of Rb3H4Pd2, as listed in Alexandria.

The structure in extended XYZ format:
```
18
Lattice="9.036 -3.955 0.000 9.036 3.955 0.000 -1.820 0.000 5.554" Properties=species:S:1:pos:R:3 pbc="T T T"
Rb 7.671 2.641 4.166
Rb 6.136 1.229 0.562
Rb 11.026 1.229 2.216
Rb 5.226 -1.229 3.339
Rb 10.117 -1.229 4.993
Rb 8.581 -2.641 1.389
H 3.322 1.953 3.707
H 2.495 0.015 0.854
H 1.585 -0.015 3.631
H 4.232 -1.953 0.930
H 12.021 1.953 4.624
H 14.667 0.015 1.924
H 13.758 -0.015 4.701
H 12.931 -1.953 1.847
Pd 2.770 0.823 2.489
Pd 1.860 -0.823 5.266
Pd 14.392 0.823 0.288
Pd 13.483 -0.823 3.066
```

Output
symmetry: C2/c, No. 15
ρ: 3959 kg/m³

***

Entry ii
First-principles (PBE) data for a relaxed structure of Rb3H4Pd2, as listed in Alexandria.

The structure in extended XYZ format:
```
18
Lattice="5.743 -5.820 0.000 5.743 5.820 0.000 -0.665 0.000 6.211" Properties=species:S:1:pos:R:3 pbc="T T T"
Rb 5.244 4.500 4.658
Rb 3.846 1.342 2.505
Rb 3.514 -1.342 5.611
Rb 7.308 1.342 0.600
Rb 6.975 -1.342 3.705
Rb 5.577 -4.500 1.553
H 1.075 1.270 4.537
H 1.408 -1.270 1.432
H 4.035 1.701 5.633
H 6.454 1.701 3.683
H 4.367 -1.701 2.527
H 6.787 -1.701 0.578
H 9.414 1.270 4.779
H 9.746 -1.270 1.673
Pd 2.365 1.865 5.426
Pd 2.698 -1.865 2.320
Pd 8.124 1.865 3.891
Pd 8.456 -1.865 0.785
```

Output
symmetry: C2/c, No. 15
ρ: 3786 kg/m³

***

It turns out entry i is the most stable, with the second structure 117 meV per atom higher.

***

Entry i
First-principles (PBE) data for a relaxed structure of RbH2Pd2, as listed in Alexandria.

The structure in extended XYZ format:
```
5
Lattice="-1.929 1.929 5.881 1.929 -1.929 5.881 1.929 1.929 -5.881" Properties=species:S:1:pos:R:3 pbc="T T T"
Rb 0.000 0.000 0.000
H 1.929 0.000 2.940
H 0.000 1.929 2.940
Pd 0.000 0.000 3.110
Pd 0.000 0.000 8.652
```

Output
symmetry: I4/mmm, No. 139
ρ: 5697 kg/m³

***

Entry ii
First-principles (PBE) data for a relaxed structure of RbH2Pd2, as listed in Alexandria.

The structure in extended XYZ format:
```
10
Lattice="-2.966 2.966 4.488 2.966 -2.966 4.488 2.966 2.966 -4.488" Properties=species:S:1:pos:R:3 pbc="T T T"
Rb 2.966 1.483 1.122
Rb 0.000 1.483 3.366
H 2.966 1.483 -1.429
H 0.000 1.483 0.815
H 2.966 1.483 3.673
H 0.000 1.483 5.917
Pd 0.000 0.000 0.000
Pd 1.483 1.483 -2.244
Pd 1.483 -1.483 2.244
Pd 0.000 2.966 0.000
```

Output
symmetry: I4_1/amd, No. 141
ρ: 6313 kg/m³

***

It turns out entry i is the most stable, with the second structure 29 meV per atom higher.

***

Entry i
First-principles (PBE) data for a relaxed structure of Rb2HPd, as listed in Alexandria.

The structure in extended XYZ format:
```
8
Lattice="8.903 0.000 0.000 0.000 3.554 0.000 -2.456 0.000 8.999" Properties=species:S:1:pos:R:3 pbc="T T T"
Rb 2.033 0.889 0.571
Rb 0.821 0.889 5.043
Rb 5.626 2.666 3.956
Rb 4.414 2.666 8.428
H -0.503 0.889 2.283
H 6.950 2.666 6.716
Pd -0.438 2.666 2.304
Pd 6.884 0.889 6.696
```

Output
symmetry: P2_1/m, No. 11
ρ: 3247 kg/m³

***

Entry ii
First-principles (PBE) data for a relaxed structure of Rb2HPd, as listed in Alexandria.

The structure in extended XYZ format:
```
4
Lattice="0.000 3.932 3.932 3.932 0.000 3.932 3.932 3.932 0.000" Properties=species:S:1:pos:R:3 pbc="T T T"
Rb 1.966 1.966 1.966
Rb 5.898 5.898 5.898
H 0.000 0.000 0.000
Pd 3.932 3.932 3.932
```

Output
symmetry: Fm-3m, No. 225
ρ: 3801 kg/m³

***

It turns out entry i is the most stable, with the second structure 396 meV per atom higher.

***

Entry i
First-principles (PBE) data for a relaxed structure of RbHPd2, as listed in Alexandria.

The structure in extended XYZ format:
```
4
Lattice="0.000 3.357 3.357 3.357 0.000 3.357 3.357 3.357 0.000" Properties=species:S:1:pos:R:3 pbc="T T T"
Rb 0.000 0.000 0.000
H 3.357 3.357 3.357
Pd 1.679 1.679 1.679
Pd 5.036 5.036 5.036
```

Output
symmetry: Fm-3m, No. 225
ρ: 6568 kg/m³

***

Entry ii
First-principles (PBE) data for a relaxed structure of RbHPd2, as listed in Alexandria.

The structure in extended XYZ format:
```
8
Lattice="0.000 4.194 4.194 4.194 0.000 4.194 4.194 4.194 0.000" Properties=species:S:1:pos:R:3 pbc="T T T"
Rb 1.049 1.049 1.049
Rb 7.340 7.340 7.340
H 3.146 3.146 3.146
H 5.243 5.243 5.243
Pd 4.194 2.097 2.097
Pd 2.097 4.194 2.097
Pd 2.097 2.097 4.194
Pd 4.194 4.194 4.194
```

Output
symmetry: Fd-3m, No. 227
ρ: 6736 kg/m³

***

Entry iii
First-principles (PBE) data for a relaxed structure of RbHPd2, as listed in Alexandria.

The structure in extended XYZ format:
```
4
Lattice="1.580 0.912 7.936 -1.580 0.912 7.936 0.000 -1.824 7.936" Properties=species:S:1:pos:R:3 pbc="T T T"
Rb 0.000 0.000 0.000
H 0.000 0.000 11.904
Pd 0.000 0.000 2.905
Pd 0.000 0.000 20.902
```

Output
symmetry: R-3m, No. 166
ρ: 7246 kg/m³

***

It turns out entry ii is the most stable, with the second structure 522 meV per atom higher.

***

Entry i
First-principles (PBE) data for a relaxed structure of RbHPd, as listed in Alexandria.

The structure in extended XYZ format:
```
6
Lattice="-2.766 3.003 3.460 2.766 -3.003 3.460 2.766 3.003 -3.460" Properties=species:S:1:pos:R:3 pbc="T T T"
Rb 0.000 1.502 1.000
Rb 2.766 1.502 2.460
H 2.766 0.000 0.000
H 0.000 0.000 3.460
Pd 1.383 1.502 -1.730
Pd 1.383 -1.502 1.730
```

Output
symmetry: Imma, No. 74
ρ: 5573 kg/m³

***

Entry ii
First-principles (PBE) data for a relaxed structure of RbHPd, as listed in Alexandria.

The structure in extended XYZ format:
```
3
Lattice="3.429 0.000 0.000 -1.714 2.970 0.000 0.000 0.000 5.357" Properties=species:S:1:pos:R:3 pbc="T T T"
Rb 0.000 0.000 0.000
H 1.714 0.990 2.679
Pd 0.000 1.980 2.679
```

Output
symmetry: P-6m2, No. 187
ρ: 5872 kg/m³

***

Entry iii
First-principles (PBE) data for a relaxed structure of RbHPd, as listed in Alexandria.

The structure in extended XYZ format:
```
3
Lattice="5.127 0.000 0.000 0.000 3.460 0.000 -2.397 0.000 4.557" Properties=species:S:1:pos:R:3 pbc="T T T"
Rb 0.000 0.000 0.000
H 0.161 0.000 2.995
Pd 0.169 1.730 2.995
```

Output
symmetry: Pm, No. 6
ρ: 3962 kg/m³

***

Entry iv
First-principles (PBE) data for a relaxed structure of RbHPd, as listed in Alexandria.

The structure in extended XYZ format:
```
3
Lattice="4.402 0.000 0.000 0.000 4.402 0.000 0.000 0.000 3.456" Properties=species:S:1:pos:R:3 pbc="T T T"
Rb 0.000 0.000 0.000
H 2.201 2.201 0.000
Pd 2.201 2.201 1.728
```

Output
symmetry: P4/mmm, No. 123
ρ: 4784 kg/m³

***

It turns out entry iv is the most stable, with the second structure 53 meV per atom higher.

***

Entry i
First-principles (PBE) data for a relaxed structure of Rb3H3Pd, as listed in Alexandria.

The structure in extended XYZ format:
```
7
Lattice="5.255 3.034 1.812 -5.255 3.034 1.812 0.000 -6.068 1.812" Properties=species:S:1:pos:R:3 pbc="T T T"
Rb -2.053 -1.185 1.812
Rb 2.053 -1.185 1.812
Rb 0.000 2.371 1.812
H -1.521 -0.878 4.495
H 1.521 -0.878 4.495
H 0.000 1.757 4.495
Pd 0.000 0.000 4.471
```

Output
symmetry: R3m, No. 160
ρ: 3504 kg/m³

***

Entry ii
First-principles (PBE) data for a relaxed structure of Rb3H3Pd, as listed in Alexandria.

The structure in extended XYZ format:
```
14
Lattice="8.463 0.000 0.000 0.000 5.719 0.000 -4.199 0.000 7.348" Properties=species:S:1:pos:R:3 pbc="T T T"
Rb -0.283 1.430 2.287
Rb 2.115 4.289 0.889
Rb -0.255 4.289 5.066
Rb 4.520 1.430 2.282
Rb 2.149 1.430 6.460
Rb 4.547 4.289 5.062
H -0.587 4.289 2.115
H 2.120 1.430 0.540
H -0.557 1.430 5.239
H 4.821 4.289 2.110
H 2.144 4.289 6.809
H 4.851 1.430 5.233
Pd -2.086 1.430 6.122
Pd 6.350 4.289 1.226
```

Output
symmetry: P2_1/m, No. 11
ρ: 3416 kg/m³

***

It turns out entry ii is the most stable, with the second structure 25 meV per atom higher.

***

Entry i
First-principles (PBE) data for a relaxed structure of ReH2Pd, as listed in Alexandria.

The structure in extended XYZ format:
```
4
Lattice="0.000 2.667 2.667 2.667 0.000 2.667 2.667 2.667 0.000" Properties=species:S:1:pos:R:3 pbc="T T T"
Re 0.000 0.000 0.000
H 1.333 1.333 1.333
H 4.000 4.000 4.000
Pd 2.667 2.667 2.667
```

Output
symmetry: Fm-3m, No. 225
ρ: 12899 kg/m³

***

Entry ii
First-principles (PBE) data for a relaxed structure of ReH2Pd, as listed in Alexandria.

The structure in extended XYZ format:
```
8
Lattice="-2.138 2.138 4.060 2.138 -2.138 4.060 2.138 2.138 -4.060" Properties=species:S:1:pos:R:3 pbc="T T T"
Re 0.000 0.000 0.000
Re 0.000 2.138 2.030
H 3.208 1.054 -1.015
H 1.054 1.069 1.015
H -1.069 1.084 3.045
H 1.084 1.069 5.075
Pd 2.138 0.000 2.030
Pd 0.000 0.000 4.060
```

Output
symmetry: I-42d, No. 122
ρ: 13175 kg/m³

***

It turns out entry ii is the most stable, with the second structure 601 meV per atom higher.

***

Entry i
First-principles (PBE) data for a relaxed structure of Ta2ReHPd, as listed in Alexandria.

The structure in extended XYZ format:
```
5
Lattice="4.281 0.000 0.000 0.000 4.281 0.000 0.000 0.000 3.718" Properties=species:S:1:pos:R:3 pbc="T T T"
Ta 0.000 2.141 0.000
Ta 2.141 0.000 0.000
Re 0.000 0.000 1.859
H 2.141 2.141 0.000
Pd 2.141 2.141 1.859
```

Output
symmetry: P4/mmm, No. 123
ρ: 15971 kg/m³

***

Entry ii
First-principles (PBE) data for a relaxed structure of Ta2ReHPd, as listed in Alexandria.

The structure in extended XYZ format:
```
5
Lattice="4.202 0.000 0.000 0.000 4.202 0.000 0.000 0.000 3.853" Properties=species:S:1:pos:R:3 pbc="T T T"
Ta 0.000 2.101 0.000
Ta 2.101 0.000 0.000
Re 0.000 0.000 1.927
H 0.000 0.000 0.000
Pd 2.101 2.101 1.927
```

Output
symmetry: P4/mmm, No. 123
ρ: 16001 kg/m³

***

It turns out entry i is the most stable, with the second structure 5 meV per atom higher.

***

Entry i
First-principles (PBE) data for a relaxed structure of Ti2ReHPd, as listed in Alexandria.

The structure in extended XYZ format:
```
5
Lattice="4.304 0.000 0.000 0.000 4.304 0.000 0.000 0.000 3.461" Properties=species:S:1:pos:R:3 pbc="T T T"
Ti 0.000 2.152 0.000
Ti 2.152 0.000 0.000
Re 0.000 0.000 1.731
H 2.152 2.152 0.000
Pd 2.152 2.152 1.731
```

Output
symmetry: P4/mmm, No. 123
ρ: 10082 kg/m³

***

Entry ii
First-principles (PBE) data for a relaxed structure of Ti2ReHPd, as listed in Alexandria.

The structure in extended XYZ format:
```
5
Lattice="4.231 0.000 0.000 0.000 4.231 0.000 0.000 0.000 3.600" Properties=species:S:1:pos:R:3 pbc="T T T"
Ti 0.000 2.116 0.000
Ti 2.116 0.000 0.000
Re 0.000 0.000 1.800
H 0.000 0.000 0.000
Pd 2.116 2.116 1.800
```

Output
symmetry: P4/mmm, No. 123
ρ: 10032 kg/m³

***

It turns out entry i is the most stable, with the second structure 20 meV per atom higher.